Entry 1:
Compound: KBaCd2
Source: Alexandria via LeMat-Bulk
Functional: SCAN
Structure: PBEsol geometry

Properties
The formation energy is -159 meV/atom. Its density of states at the Fermi level is 3.72 states/eV/f.u.

```
KBaCd2
1.0
0.000 4.120 4.120
4.120 0.000 4.120
4.120 4.120 0.000
K Ba Cd
1 1 2
direct
0.000 0.000 0.000
0.500 0.500 0.500
0.250 0.250 0.250
0.750 0.750 0.750
```

---

Entry 2:
Compound: KBaCd2
Source: Alexandria via LeMat-Bulk
Functional: SCAN
Structure: PBEsol geometry

Properties
The formation energy is -200 meV/atom. Its density of states at the Fermi level is 3.46 states/eV/f.u.

```
KBaCd2
1.0
5.020 0.000 0.000
0.000 2.417 6.296
0.000 -2.417 6.296
K Ba Cd
1 1 2
direct
0.000 0.000 0.000
0.500 0.294 0.294
0.000 0.707 0.707
0.500 0.589 0.589
```

---

Entry 3:
Compound: KBaCd4
Source: Alexandria via LeMat-Bulk
Functional: SCAN
Structure: PBEsol geometry

Properties
The formation energy is -221 meV/atom. Its density of states at the Fermi level is 3.67 states/eV/f.u.

```
KBaCd4
1.0
0.000 4.396 4.396
4.396 0.000 4.396
4.396 4.396 0.000
K Ba Cd
1 1 4
direct
0.000 0.000 0.000
0.250 0.250 0.250
0.123 0.626 0.626
0.626 0.123 0.626
0.626 0.626 0.123
0.626 0.626 0.626
```

---

Entry 4:
Compound: KBa2Cd
Source: Alexandria via LeMat-Bulk
Functional: SCAN
Structure: PBEsol geometry

Properties
The formation energy is 35 meV/atom. Its density of states at the Fermi level is 4.00 states/eV/f.u.

```
KBa2Cd
1.0
-2.677 2.677 6.236
2.677 -2.677 6.236
2.677 2.677 -6.236
K Ba Cd
1 2 1
direct
0.000 0.000 0.000
0.500 0.500 0.000
0.750 0.250 0.500
0.250 0.750 0.500
```

---

Entry 5:
Compound: KBaCd2
Source: Alexandria via LeMat-Bulk
Functional: SCAN
Structure: PBEsol geometry

Properties
The formation energy is -160 meV/atom. Its density of states at the Fermi level is 3.65 states/eV/f.u.

```
KBaCd2
1.0
4.116 0.000 0.000
0.000 4.116 0.000
0.000 0.000 8.536
K Ba Cd
1 1 2
direct
0.000 0.000 0.000
0.000 0.000 0.500
0.500 0.500 0.267
0.500 0.500 0.733
```

---

Entry 6:
Compound: KBaCd2
Source: Alexandria via LeMat-Bulk
Functional: SCAN
Structure: PBEsol geometry

Properties
The formation energy is -121 meV/atom. Its density of states at the Fermi level is 4.64 states/eV/f.u.

```
KBaCd2
1.0
-2.797 2.797 3.919
2.797 -2.797 3.919
2.797 2.797 -3.919
K Ba Cd
1 1 2
direct
0.000 0.000 0.000
0.250 0.750 0.500
0.500 0.500 0.000
0.750 0.250 0.500
```

---

Entry 7:
Compound: KBa2Cd
Source: Alexandria via LeMat-Bulk
Functional: SCAN
Structure: PBEsol geometry

Properties
The formation energy is -195 meV/atom. Its density of states at the Fermi level is 2.93 states/eV/f.u.

```
KBa2Cd
1.0
4.212 0.000 0.000
0.000 4.212 0.000
0.000 0.000 11.059
K Ba Cd
1 2 1
direct
0.000 0.000 0.000
0.500 0.500 0.324
0.500 0.500 0.676
0.000 0.000 0.500
```

---

Entry 8:
Compound: KBaCd3
Source: Alexandria via LeMat-Bulk
Functional: SCAN
Structure: PBEsol geometry

Properties
The formation energy is 339 meV/atom. Its density of states at the Fermi level is 4.44 states/eV/f.u.

```
KBaCd3
1.0
6.345 0.000 0.000
0.000 6.345 0.000
0.000 0.000 6.345
K Ba Cd
1 1 3
direct
0.000 0.000 0.000
0.500 0.500 0.500
0.000 0.500 0.500
0.500 0.000 0.500
0.500 0.500 0.000
```

---

Entry 9:
Compound: KBaV3Cd2O11
Source: Alexandria via LeMat-Bulk
Functional: SCAN
Structure: PBEsol geometry

Properties
Its density of states at the Fermi level is 0.00 states/eV/f.u. For the energy relative to the elements, uncorrected, the calculation gives -2.4605 eV/atom.

```
KBaV3Cd2O11
1.0
10.481 0.000 0.000
0.000 6.966 0.000
-9.224 0.000 15.154
K Ba V Cd O
4 4 12 8 44
direct
0.026 0.064 0.151
0.026 0.436 0.651
0.974 0.564 0.349
0.974 0.936 0.849
0.224 0.040 0.538
0.224 0.460 0.038
0.776 0.540 0.962
0.776 0.960 0.462
0.178 0.532 0.220
0.178 0.968 0.720
0.265 0.537 0.561
0.265 0.963 0.061
0.346 0.655 0.862
0.346 0.845 0.362
0.654 0.155 0.638
0.654 0.345 0.138
0.735 0.037 0.939
0.735 0.463 0.439
0.822 0.032 0.280
0.822 0.468 0.780
0.386 0.168 0.922
0.386 0.332 0.422
0.471 0.227 0.257
0.471 0.273 0.757
0.529 0.727 0.243
0.529 0.773 0.743
0.614 0.668 0.578
0.614 0.832 0.078
0.039 0.002 0.616
0.039 0.498 0.116
0.117 0.681 0.526
0.117 0.819 0.026
0.172 0.742 0.770
0.172 0.758 0.270
0.184 0.152 0.783
0.184 0.348 0.283
0.235 0.101 0.974
0.235 0.399 0.474
0.273 0.124 0.138
0.273 0.376 0.638
0.319 0.021 0.418
0.319 0.479 0.918
0.342 0.527 0.219
0.342 0.973 0.719
0.421 0.692 0.603
0.421 0.808 0.103
0.432 0.658 0.431
0.432 0.842 0.931
0.456 0.576 0.824
0.456 0.924 0.324
0.544 0.076 0.676
0.544 0.424 0.176
0.568 0.158 0.069
0.568 0.342 0.569
0.579 0.192 0.897
0.579 0.308 0.397
0.658 0.027 0.281
0.658 0.473 0.781
0.681 0.521 0.082
0.681 0.979 0.582
0.727 0.624 0.362
0.727 0.876 0.862
0.765 0.601 0.526
0.765 0.899 0.026
0.816 0.652 0.717
0.816 0.848 0.217
0.828 0.242 0.730
0.828 0.258 0.230
0.883 0.181 0.974
0.883 0.319 0.474
0.961 0.502 0.884
0.961 0.998 0.384
```

---

Entry 10:
Compound: KBa2Cd2Sb3
Source: Alexandria via LeMat-Bulk
Functional: SCAN
Structure: PBEsol geometry

Properties
For the energy relative to the elements, uncorrected, the calculation gives -0.8091 eV/atom.

```
KBa2Cd2Sb3
1.0
13.075 0.000 0.000
0.000 4.925 0.000
0.000 0.000 16.650
K Ba Cd Sb
4 8 8 12
direct
0.102 0.250 0.055
0.398 0.750 0.555
0.602 0.250 0.445
0.898 0.750 0.945
0.099 0.750 0.429
0.128 0.250 0.791
0.372 0.750 0.291
0.401 0.250 0.929
0.599 0.750 0.071
0.628 0.250 0.709
0.872 0.750 0.209
0.901 0.250 0.571
0.135 0.250 0.284
0.194 0.250 0.585
0.306 0.750 0.085
0.365 0.750 0.784
0.635 0.250 0.216
0.694 0.250 0.915
0.806 0.750 0.415
0.865 0.750 0.716
0.079 0.750 0.637
0.135 0.750 0.197
0.214 0.750 0.926
0.286 0.250 0.426
0.365 0.250 0.697
0.421 0.250 0.137
0.579 0.750 0.863
0.635 0.750 0.303
0.714 0.750 0.574
0.786 0.250 0.074
0.865 0.250 0.803
0.921 0.250 0.363
```

---

Entry 11:
Compound: K2BaCdSb2
Source: Alexandria via LeMat-Bulk
Functional: SCAN
Structure: PBEsol geometry

Properties
For the energy relative to the elements, uncorrected, the calculation gives -0.7310 eV/atom.

```
K2BaCdSb2
1.0
5.010 0.000 0.000
0.000 9.811 0.000
0.000 0.000 8.455
K Ba Cd Sb
4 2 2 4
direct
0.000 0.079 0.000
0.000 0.921 0.500
0.500 0.161 0.674
0.500 0.839 0.174
0.500 0.449 0.020
0.500 0.551 0.520
0.000 0.323 0.367
0.000 0.677 0.867
0.000 0.388 0.730
0.000 0.612 0.230
0.500 0.181 0.281
0.500 0.819 0.781
```

---

Entry 12:
Compound: Ba4LaCd
Source: Alexandria via LeMat-Bulk
Functional: SCAN
Structure: PBEsol geometry

Properties
The formation energy is 398 meV/atom. Its density of states at the Fermi level is 7.30 states/eV/f.u.

```
Ba4LaCd
1.0
0.000 5.114 5.114
5.114 0.000 5.114
5.114 5.114 0.000
Ba La Cd
4 1 1
direct
0.376 0.376 0.376
0.376 0.376 0.873
0.376 0.873 0.376
0.873 0.376 0.376
0.000 0.000 0.000
0.750 0.750 0.750
```

---

Entry 13:
Compound: BaLaCd
Source: Alexandria via LeMat-Bulk
Functional: SCAN
Structure: PBEsol geometry

Properties
The formation energy is -202 meV/atom. Its density of states at the Fermi level is 2.81 states/eV/f.u.

```
BaLaCd
1.0
-1.995 1.995 6.936
1.995 -1.995 6.936
1.995 1.995 -6.936
Ba La Cd
1 1 1
direct
0.000 0.000 0.000
0.721 0.721 0.000
0.339 0.339 0.000
```

---

Entry 14:
Compound: BaLaCd2
Source: Alexandria via LeMat-Bulk
Functional: SCAN
Structure: PBEsol geometry

Properties
The formation energy is -168 meV/atom. Its density of states at the Fermi level is 3.03 states/eV/f.u.

```
BaLaCd2
1.0
-2.409 2.409 5.164
2.409 -2.409 5.164
2.409 2.409 -5.164
Ba La Cd
1 1 2
direct
0.000 0.000 0.000
0.250 0.750 0.500
0.500 0.500 0.000
0.750 0.250 0.500
```

---

Entry 15:
Compound: BaLaCd2
Source: Alexandria via LeMat-Bulk
Functional: SCAN
Structure: PBEsol geometry

Properties
The formation energy is -365 meV/atom. Its density of states at the Fermi level is 2.51 states/eV/f.u.

```
BaLaCd2
1.0
5.675 0.000 0.000
0.000 5.675 0.000
0.000 0.000 3.937
Ba La Cd
1 1 2
direct
0.000 0.000 0.000
0.500 0.500 0.000
0.000 0.500 0.500
0.500 0.000 0.500
```

---

Entry 16:
Compound: BaLaCd2
Source: Alexandria via LeMat-Bulk
Functional: SCAN
Structure: PBEsol geometry

Properties
The formation energy is -130 meV/atom. Its density of states at the Fermi level is 4.00 states/eV/f.u.

```
BaLaCd2
1.0
3.938 0.000 0.000
0.000 3.938 0.000
0.000 0.000 8.432
Ba La Cd
1 1 2
direct
0.000 0.000 0.000
0.500 0.500 0.639
0.000 0.000 0.429
0.500 0.500 0.253
```

---

Entry 17:
Compound: BaLaCd
Source: Alexandria via LeMat-Bulk
Functional: SCAN
Structure: PBEsol geometry

Properties
The formation energy is 207 meV/atom. Its density of states at the Fermi level is 3.18 states/eV/f.u.

```
BaLaCd
1.0
0.000 3.756 3.756
3.756 0.000 3.756
3.756 3.756 0.000
Ba La Cd
1 1 1
direct
0.000 0.000 0.000
0.750 0.750 0.750
0.500 0.500 0.500
```

---

Entry 18:
Compound: BaSrLa2Cd
Source: Alexandria via LeMat-Bulk
Functional: SCAN
Structure: PBEsol geometry

Properties
The formation energy is 770 meV/atom. Its density of states at the Fermi level is 5.71 states/eV/f.u.

```
BaSrLa2Cd
1.0
5.829 0.000 0.000
0.000 5.829 0.000
0.000 0.000 6.061
Ba Sr La Cd
1 1 2 1
direct
0.000 0.000 0.000
0.000 0.000 0.500
0.000 0.500 0.000
0.500 0.000 0.000
0.500 0.500 0.500
```

---

Entry 19:
Compound: BaLi4Cd
Source: Alexandria via LeMat-Bulk
Functional: SCAN
Structure: PBEsol geometry

Properties
The formation energy is -89 meV/atom. Its density of states at the Fermi level is 3.38 states/eV/f.u.

```
BaLi4Cd
1.0
0.000 4.136 4.136
4.136 0.000 4.136
4.136 4.136 0.000
Ba Li Cd
1 4 1
direct
0.000 0.000 0.000
0.136 0.621 0.621
0.621 0.136 0.621
0.621 0.621 0.136
0.621 0.621 0.621
0.250 0.250 0.250
```

---

Entry 20:
Compound: Ba2LiCd
Source: Alexandria via LeMat-Bulk
Functional: SCAN
Structure: PBEsol geometry

Properties
The formation energy is -145 meV/atom. Its density of states at the Fermi level is 2.14 states/eV/f.u.

```
Ba2LiCd
1.0
4.040 0.000 0.000
0.000 4.040 0.000
0.000 0.000 9.180
Ba Li Cd
2 1 1
direct
0.000 0.000 0.000
0.500 0.500 0.381
0.500 0.500 0.741
0.000 0.000 0.616
```

---

no.,M_tot (μB/atom),V (Å³ per cell)
1,0.00,139.8
2,0.00,152.8
3,0.00,169.9
4,0.27,178.7
5,0.00,144.6
6,0.00,122.6
7,0.00,196.2
8,0.00,255.4
9,0.00,1106.4
10,0.00,1072.1
11,0.00,415.6
12,0.71,267.4
13,0.05,110.5
14,0.17,119.9
15,0.00,126.8
16,0.00,130.7
17,0.00,105.9
18,0.00,205.9
19,0.04,141.5
20,0.00,149.8